Entry 1:
## Pm12Ge5N2 (PBE)

Data for a geometry-optimized Pm12Ge5N2 structure.

The value obtained for the final energy is -5.7834 eV per atom.

The space group is C2/m (No. 12) and the conventional cell measures 16.7069, 7.4324 and 9.0878 Å, with angles of 90.00, 106.14 and 90.00 degrees. Symmetry generates all atoms from Pm at (0.0024, 0.0000, 0.1939), Pm at (0.0029, 0.5000, 0.8240), Pm at (0.1497, 0.2536, 0.5722), Pm at (0.1562, 0.2523, 0.0800), Ge at (0.0000, 0.5000, 0.5000), Ge at (0.1825, 0.0000, 0.8388), Ge at (0.1929, 0.0000, 0.3487) and N at (0.0000, 0.2394, 0.0000).


Entry 2:
## Pm3GeN4 (PBE)

Data for a geometry-optimized Pm3GeN4 structure.

The value obtained for the final energy is -7.4374 eV per atom.

The space group is Pmn2_1 (No. 31) and the conventional cell measures 7.6379, 6.7934 and 5.3990 Å, with angles of 90.00, 90.00 and 90.00 degrees. Symmetry generates all atoms from Pm at (0.0000, 0.1512, 0.0000), Pm at (0.2500, 0.3355, 0.5011), Ge at (0.0000, 0.8312, 0.4698), N at (0.0000, 0.1138, 0.5454), N at (0.0000, 0.8294, 0.1164) and N at (0.2140, 0.6936, 0.5511).


Entry 3:
## PmGeN (PBE)

Data for a geometry-optimized PmGeN structure.

The value obtained for the final energy is -6.0527 eV per atom.

The space group is I4mm (No. 107) and the conventional cell measures 4.2027, 4.2027 and 7.0524 Å, with angles of 90.00, 90.00 and 90.00 degrees. Symmetry generates all atoms from Pm at (0.0000, 0.0000, 0.0000), Ge at (0.0000, 0.0000, 0.4167) and N at (0.0000, 0.0000, 0.6716).


Entry 4:
## PmGeN (PBE)

Data for a geometry-optimized PmGeN structure.

The value obtained for the final energy is -6.4421 eV per atom.

The space group is Cmcm (No. 63) and the conventional cell measures 4.3192, 13.7670 and 4.1816 Å, with angles of 90.00, 90.00 and 90.00 degrees. Symmetry generates all atoms from Pm at (0.0000, 0.1774, 0.2500), Ge at (0.0000, 0.4505, 0.2500) and N at (0.0000, 0.2528, 0.7500).


Entry 5:
## PmGeN2 (PBE)

Data for a geometry-optimized PmGeN2 structure.

The value obtained for the final energy is -6.7084 eV per atom.

The space group is R-3m (No. 166, hexagonal axes) and the conventional cell measures 3.5121, 3.5121 and 16.0051 Å, with angles of 90.00, 90.00 and 120.00 degrees. Symmetry generates all atoms from Pm at (0.0000, 0.0000, 0.0000), Ge at (0.0000, 0.0000, 0.5000) and N at (0.0000, 0.0000, 0.2455).


Entry 6:
## Pm4GeN2 (PBE)

Data for a geometry-optimized Pm4GeN2 structure.

The value obtained for the final energy is -6.8055 eV per atom.

The space group is Cmcm (No. 63) and the conventional cell measures 3.7875, 12.3579 and 12.7791 Å, with angles of 90.00, 90.00 and 90.00 degrees. Symmetry generates all atoms from Pm at (0.0000, 0.0000, 0.0000), Pm at (0.0000, 0.2647, 0.1071), Pm at (0.0000, 0.4258, 0.7500), Ge at (0.0000, 0.1060, 0.7500) and N at (0.0000, 0.3609, 0.5588).


no.,ΔE_f (raw) (meV/atom),DOS at the Fermi energy (states/eV/atom)
1,-692,0.8408
2,-916,0.2374
3,-155,0.7188
4,-544,0.5865
5,-204,0.6977
6,-1053,0.5736